DFT (GGA-PBEsol) results for a relaxed ZnCoSe2 crystal.

Cell: 3.525 3.525 7.428 Å, 76.27 76.27 60.00°
Positions (direct):
Zn1 0.000 0.000 0.000
Co1 0.500 0.500 0.500
Se1 0.888 0.888 0.335
Se2 0.112 0.112 0.665

**Fermi-level density of states**: 2.424 states/eV per cell
**Uncorrected formation energy**: -0.152 eV/atom